The following is a DFT calculation (GGA-PBE) of an optimized crystal structure of PrY3B.

The calculation puts the spin magnetization at 0.00 μB per formula unit. For the formation energy, the calculation gives 0.032 eV per atom.

The space group is Pm-3m (No. 221) and the conventional cell measures 5.2077, 5.2077 and 5.2077 Å, with angles of 90.00, 90.00 and 90.00 degrees. The asymmetric unit holds Pr at (0.0000, 0.0000, 0.0000), Y at (0.0000, 0.5000, 0.5000) and B at (0.5000, 0.5000, 0.5000).